No. 1
An optimized crystal structure of SrLaRe2. Source: Alexandria, functional PBE-GGA.

Final energy ... -110.02 eV/cell
Energy relative to the elements ... 1.00 eV/atom
Energy above the lowest structure with this stoichiometry ... 775 meV/atom

abc: 7.0106 7.0106 7.0106
angles: 90.00 90.00 90.00
Last column: nearest neighbours and their distance in Å.
Sites, in units of the cell vectors:
Sr: 0.0000 0.0000 0.0000  4 La 3.04, 4 Re 3.04
Sr: 0.0000 0.5000 0.5000  4 La 3.04, 4 Re 3.04
Sr: 0.5000 0.0000 0.5000  4 La 3.04, 4 Re 3.04
Sr: 0.5000 0.5000 0.0000  4 La 3.04, 4 Re 3.04
La: 0.2500 0.2500 0.2500  4 Re 3.04, 4 Sr 3.04
La: 0.2500 0.7500 0.7500  4 Re 3.04, 4 Sr 3.04
La: 0.7500 0.2500 0.7500  4 Re 3.04, 4 Sr 3.04
La: 0.7500 0.7500 0.2500  4 Re 3.04, 4 Sr 3.04
Re: 0.0000 0.0000 0.5000  4 La 3.04, 4 Re 3.04
Re: 0.0000 0.5000 0.0000  4 La 3.04, 4 Re 3.04
Re: 0.2500 0.2500 0.7500  4 Re 3.04, 4 Sr 3.04
Re: 0.2500 0.7500 0.2500  4 Re 3.04, 4 Sr 3.04
Re: 0.5000 0.0000 0.0000  4 La 3.04, 4 Re 3.04
Re: 0.5000 0.5000 0.5000  4 La 3.04, 4 Re 3.04
Re: 0.7500 0.2500 0.2500  4 Re 3.04, 4 Sr 3.04
Re: 0.7500 0.7500 0.7500  4 Sr 3.04, 4 Re 3.04

No. 2
An optimized crystal structure of RbTlCu2Hg. Source: Alexandria, functional PBE-GGA.

Final energy ... -9.09 eV/cell
Energy relative to the elements ... 0.55 eV/atom

abc: 5.1328 5.1328 6.1748
angles: 90.00 90.00 90.00
Last column: nearest neighbours and their distance in Å.
Sites, in units of the cell vectors:
Rb: 0.0000 0.0000 0.0000  2 Hg 3.09
Tl: 0.5000 0.5000 0.0000  4 Rb 3.63, 8 Cu 4.01
Cu: 0.0000 0.5000 0.5000  2 Hg 2.57
Cu: 0.5000 0.0000 0.5000  2 Hg 2.57
Hg: 0.0000 0.0000 0.5000  4 Cu 2.57

No. 3
An optimized crystal structure of ZrAsBr. Source: Alexandria, functional PBE-GGA.

Final energy ... -35.19 eV/cell
Energy relative to the elements, uncorrected ... -0.909 eV per atom
Energy above the lowest structure with this stoichiometry ... 0 meV/atom

abc: 3.8337 3.8337 13.6170
angles: 90.00 90.00 120.00
Last column: nearest neighbours and their distance in Å.
Sites, in units of the cell vectors:
Zr: 0.3333 0.6667 0.0000  3 As 2.62, 3 Br 2.89
Zr: 0.6667 0.3333 0.5000  3 As 2.62, 3 Br 2.89
As: 0.3333 0.6667 0.6034  3 Zr 2.62
As: 0.6667 0.3333 0.1034  3 Zr 2.62
Br: 0.0000 0.0000 0.3632  3 Zr 2.89
Br: 0.0000 0.0000 0.8632  3 Zr 2.89

No. 4
An optimized crystal structure of KTaTl2. Source: Alexandria, functional PBE-GGA.

Final energy ... -14.84 eV/cell
Energy relative to the elements ... 0.71 eV/atom
Energy above the lowest structure with this stoichiometry ... 292 meV/atom

abc: 5.5586 3.1454 6.0792
angles: 90.00 100.57 90.00
Last column: nearest neighbours and their distance in Å.
Sites, in units of the cell vectors:
K: 0.0000 0.0000 0.0000  6 Tl 3.04-3.19, 2 K 3.15
Ta: 0.5000 0.5000 0.5000  6 Tl 3.04-3.19, 2 Ta 3.15
Tl: 0.0000 0.0000 0.5000  2 K 3.04, 2 Tl 3.15, 4 Ta 3.19
Tl: 0.5000 0.5000 0.0000  2 Ta 3.04, 2 Tl 3.15, 4 K 3.19

No. 5
An optimized crystal structure of K2Li2MgCl6. Source: Alexandria, functional PBE-GGA.

Final energy ... -38.85 eV/cell
Energy relative to the elements, uncorrected ... -1.832 eV per atom

abc: 7.0874 7.0874 7.5028
angles: 112.74 112.74 61.70
Last column: nearest neighbours and their distance in Å.
Sites, in units of the cell vectors:
K: 0.2075 0.2075 0.1582  5 Cl 3.11-3.34
K: 0.7925 0.7925 0.8418  5 Cl 3.11-3.34
Li: 0.4313 0.4313 0.7117  3 Cl 2.25-2.28
Li: 0.5687 0.5687 0.2883  3 Cl 2.25-2.28
Mg: 0.0000 0.0000 0.5000  6 Cl 2.51-2.56
Cl: 0.1922 0.7083 0.2263  1 Li 2.28
Cl: 0.2247 0.2247 0.5843  1 Li 2.25, 1 Mg 2.51
Cl: 0.2917 0.8078 0.7737  1 Li 2.28
Cl: 0.7083 0.1922 0.2263  1 Li 2.28
Cl: 0.7753 0.7753 0.4157  1 Li 2.25, 1 Mg 2.51
Cl: 0.8078 0.2917 0.7737  1 Li 2.28

No. 6
An optimized crystal structure of Li2PmI4. Source: Alexandria, functional PBE-GGA.

Final energy ... -44.13 eV/cell
Energy relative to the elements, uncorrected ... -1.041 eV per atom

abc: 8.6447 8.6447 7.6437
angles: 90.00 90.00 90.00
Last column: nearest neighbours and their distance in Å.
Sites, in units of the cell vectors:
Li: 0.0000 0.5000 0.2500  4 I 2.82
Li: 0.0000 0.5000 0.7500  4 I 2.82
Li: 0.5000 0.0000 0.2500  4 I 2.82
Li: 0.5000 0.0000 0.7500  4 I 2.82
Pm: 0.0000 0.0000 0.0000  4 I 3.12
Pm: 0.5000 0.5000 0.5000  4 I 3.12
I: 0.1626 0.3225 0.0000  2 Li 2.82, 1 Pm 3.12
I: 0.1775 0.6626 0.5000  2 Li 2.82, 1 Pm 3.12
I: 0.3225 0.8374 0.0000  2 Li 2.82, 1 Pm 3.12
I: 0.3374 0.1775 0.5000  2 Li 2.82, 1 Pm 3.12
I: 0.6626 0.8225 0.5000  2 Li 2.82, 1 Pm 3.12
I: 0.6775 0.1626 0.0000  2 Li 2.82, 1 Pm 3.12
I: 0.8225 0.3374 0.5000  2 Li 2.82, 1 Pm 3.12
I: 0.8374 0.6775 0.0000  2 Li 2.82, 1 Pm 3.12

No. 7
An optimized crystal structure of Zr3OsF. Source: Alexandria, functional PBE-GGA.

Final energy ... -40.98 eV/cell
Energy relative to the elements, uncorrected ... -0.447 eV per atom
Energy above the lowest structure with this stoichiometry ... 0 meV/atom

abc: 4.4582 4.4582 4.4582
angles: 90.00 90.00 90.00
Last column: nearest neighbours and their distance in Å.
Sites, in units of the cell vectors:
Zr: 0.0000 0.0000 0.5000  2 F 2.23
Zr: 0.0000 0.5000 0.0000  2 F 2.23
Zr: 0.5000 0.0000 0.0000  2 F 2.23
Os: 0.5000 0.5000 0.5000  12 Zr 3.15
F: 0.0000 0.0000 0.0000  6 Zr 2.23

No. 8
An optimized crystal structure of Sm2Ga3GePt4. Source: Alexandria, functional PBE-GGA.

Final energy ... -56.85 eV/cell
Energy relative to the elements ... -0.96 eV/atom

abc: 4.2525 4.2525 10.5460
angles: 90.00 90.00 90.00
Last column: nearest neighbours and their distance in Å.
Sites, in units of the cell vectors:
Sm: 0.0000 0.5000 0.2441  8 Pt 3.23-3.44, 6 Ga 3.27-3.34, 2 Ge 3.34
Sm: 0.5000 0.0000 0.7559  8 Pt 3.23-3.44, 6 Ga 3.27-3.34, 2 Ge 3.34
Ga: 0.0000 0.0000 0.0000  4 Pt 2.54
Ga: 0.0000 0.5000 0.6336  5 Pt 2.47-2.55
Ga: 0.5000 0.0000 0.3664  5 Pt 2.47-2.55
Ge: 0.5000 0.5000 0.0000  4 Pt 2.54
Pt: 0.0000 0.0000 0.5000  4 Ga 2.55
Pt: 0.0000 0.5000 0.8678  3 Ga 2.47-2.54, 2 Ge 2.54
Pt: 0.5000 0.0000 0.1322  3 Ga 2.47-2.54, 2 Ge 2.54
Pt: 0.5000 0.5000 0.5000  4 Ga 2.55

No. 9
An optimized crystal structure of HfZr2ScSb. Source: Alexandria, functional PBE-GGA.

Final energy ... -34.37 eV/cell
Energy relative to the elements, uncorrected ... 0.627 eV per atom

abc: 5.2881 5.2881 5.1652
angles: 90.00 90.00 90.00
Last column: nearest neighbours and their distance in Å.
Sites, in units of the cell vectors:
Hf: 0.0000 0.0000 0.0000  8 Zr 3.70, 4 Sc 3.74
Zr: 0.0000 0.5000 0.5000  2 Sb 2.64
Zr: 0.5000 0.0000 0.5000  2 Sb 2.64
Sc: 0.5000 0.5000 0.0000  2 Sb 2.58
Sb: 0.5000 0.5000 0.5000  2 Sc 2.58, 4 Zr 2.64

No. 10
An optimized crystal structure of GaAg2TeO6. Source: Alexandria, functional PBE-GGA.

Final energy ... -48.88 eV/cell
Energy relative to the elements, uncorrected ... -0.726 eV per atom

abc: 5.4754 5.4754 5.5060
angles: 120.05 120.05 61.62
Last column: nearest neighbours and their distance in Å.
Sites, in units of the cell vectors:
Ga: 0.0000 0.0000 0.0000  6 O 2.02-2.05
Ag: 0.2467 0.2467 0.7666  5 O 2.29-2.42
Ag: 0.7533 0.7533 0.2334  5 O 2.29-2.42
Te: 0.5000 0.5000 0.5000  6 O 1.97-1.98
O: 0.1962 0.6892 0.1981  1 Te 1.98, 1 Ga 2.05
O: 0.2533 0.2533 0.3582  1 Te 1.97, 1 Ga 2.02
O: 0.3108 0.8038 0.8019  1 Te 1.98, 1 Ga 2.05
O: 0.6892 0.1962 0.1981  1 Te 1.98, 1 Ga 2.05
O: 0.7467 0.7467 0.6418  1 Te 1.97, 1 Ga 2.02
O: 0.8038 0.3108 0.8019  1 Te 1.98, 1 Ga 2.05

Number 1: total magnetization 0.0 μB per formula unit. Number 2: total magnetization 0.0 μB per formula unit. Number 3: total magnetization 0.0 μB per formula unit. Number 4: total magnetization 0.0 μB per formula unit. Number 5: total magnetization 0.0 μB per formula unit. Number 6: total magnetization 1.0 μB per formula unit. Number 7: total magnetization 0.0 μB per formula unit. Number 8: total magnetization 0.0 μB per formula unit. Number 9: total magnetization 0.0 μB per formula unit. Number 10: total magnetization 0.9 μB per formula unit.